DFT (PBE) results for a relaxed HgIr17 crystal.

Cell lengths 5.452, 5.452, 33.294 Å; angles 90.00, 90.00, 120.00 degrees
Fractional coordinates of all 36 atoms:
Hg: 0.333 0.667 0.295
Hg: 0.667 0.333 0.705
Ir: 0.000 0.000 0.000
Ir: 0.000 0.000 0.202
Ir: 0.000 0.000 0.798
Ir: 0.000 0.500 0.000
Ir: 0.003 0.502 0.202
Ir: 0.167 0.334 0.135
Ir: 0.167 0.334 0.933
Ir: 0.167 0.335 0.733
Ir: 0.167 0.833 0.135
Ir: 0.167 0.833 0.733
Ir: 0.167 0.833 0.933
Ir: 0.333 0.667 0.067
Ir: 0.333 0.667 0.866
Ir: 0.334 0.167 0.067
Ir: 0.334 0.167 0.865
Ir: 0.335 0.167 0.267
Ir: 0.498 0.502 0.202
Ir: 0.498 0.997 0.202
Ir: 0.500 0.000 0.000
Ir: 0.500 0.500 0.000
Ir: 0.502 0.003 0.798
Ir: 0.502 0.498 0.798
Ir: 0.665 0.833 0.733
Ir: 0.666 0.833 0.135
Ir: 0.666 0.833 0.933
Ir: 0.667 0.333 0.134
Ir: 0.667 0.333 0.933
Ir: 0.833 0.167 0.067
Ir: 0.833 0.167 0.267
Ir: 0.833 0.167 0.865
Ir: 0.833 0.665 0.267
Ir: 0.833 0.666 0.067
Ir: 0.833 0.666 0.865
Ir: 0.997 0.498 0.798

Output
Crystal system: trigonal
E_tot, eV per cell: -294.3
Formation enthalpy at 0 K, meV per atom: 203
Distance to the lowest polymorph of the same formula, meV per atom: 18
Total moment, μB/atom: 0.00

---

DFT (PBE) results for a relaxed HgIr2 crystal.

Cell lengths 5.293, 5.293, 5.293 Å; angles 60.00, 60.00, 60.00 degrees
Fractional coordinates of all 6 atoms:
Hg: 0.125 0.125 0.125
Hg: 0.875 0.875 0.875
Ir: 0.000 0.500 0.500
Ir: 0.500 0.000 0.500
Ir: 0.500 0.500 0.000
Ir: 0.500 0.500 0.500

Output
Crystal system: cubic
E_tot, eV per cell: -32.4
Formation enthalpy at 0 K, meV per atom: 595
Total moment, μB/atom: 0.10

---

Copy entry 2 word for word.
DFT (PBE) results for a relaxed HgIr2 crystal.

Cell lengths 5.293, 5.293, 5.293 Å; angles 60.00, 60.00, 60.00 degrees
Fractional coordinates of all 6 atoms:
Hg: 0.125 0.125 0.125
Hg: 0.875 0.875 0.875
Ir: 0.000 0.500 0.500
Ir: 0.500 0.000 0.500
Ir: 0.500 0.500 0.000
Ir: 0.500 0.500 0.500

Output
Crystal system: cubic
E_tot, eV per cell: -32.4
Formation enthalpy at 0 K, meV per atom: 595
Total moment, μB/atom: 0.10